[1]
Compound: SrCd2Fe
Source: Alexandria via LeMat-Bulk
Functional: GGA-PBE
Structure: relaxed

abc: 6.1345 6.1345 6.1345
angles: 147.28 128.85 62.06
Closest atoms and distances in Å follow each position.
Fractional coordinates of all 4 atoms:
Sr 0.0000 0.0000 0.0000  4 Fe 3.16, 8 Cd 3.43-3.52, 2 Sr 3.46
Cd 0.2920 0.7920 0.5000  2 Fe 2.79
Cd 0.7080 0.2080 0.5000  2 Fe 2.79
Fe 0.5000 0.5000 0.0000  4 Cd 2.79

Values from the calculation:
- energy of formation (meV per atom) = 264
- calculated density (g/cm³) = 6.36
- symmetry = No. 71
- raw total energy (eV per atom) = -2.729

[2]
Compound: Sr3CdFe
Source: Alexandria via LeMat-Bulk
Functional: GGA-PBE
Structure: relaxed

abc: 5.6714 5.6714 5.6714
angles: 90.00 90.00 90.00
Closest atoms and distances in Å follow each position.
Fractional coordinates of all 5 atoms:
Sr 0.0000 0.0000 0.5000  2 Fe 2.84
Sr 0.0000 0.5000 0.0000  2 Fe 2.84
Sr 0.5000 0.0000 0.0000  2 Fe 2.84
Cd 0.5000 0.5000 0.5000  12 Sr 4.01
Fe 0.0000 0.0000 0.0000  6 Sr 2.84

Values from the calculation:
- ΔE to the lowest computed polymorph (eV per atom) = 0.000
- energy of formation (meV per atom) = 415
- calculated density (g/cm³) = 3.92
- symmetry = No. 221
- raw total energy (eV per atom) = -2.470

[3]
Compound: SrCd2Fe
Source: Alexandria via LeMat-Bulk
Functional: GGA-PBE
Structure: relaxed

abc: 4.5714 4.5714 4.7175
angles: 90.00 90.00 90.00
Closest atoms and distances in Å follow each position.
Fractional coordinates of all 4 atoms:
Sr 0.0000 0.0000 0.0000  4 Fe 3.23, 8 Cd 3.28
Cd 0.0000 0.5000 0.5000  4 Cd 3.23, 4 Fe 3.28, 4 Sr 3.28
Cd 0.5000 0.0000 0.5000  4 Cd 3.23, 4 Fe 3.28, 4 Sr 3.28
Fe 0.5000 0.5000 0.0000  4 Sr 3.23, 8 Cd 3.28

Values from the calculation:
- energy of formation (meV per atom) = 335
- calculated density (g/cm³) = 6.20
- symmetry = No. 123
- raw total energy (eV per atom) = -2.659

[4]
Compound: SrCd2Fe
Source: Alexandria via LeMat-Bulk
Functional: GGA-PBE
Structure: relaxed

abc: 3.5577 3.5577 7.6417
angles: 90.00 90.00 90.00
Closest atoms and distances in Å follow each position.
Fractional coordinates of all 4 atoms:
Sr 0.0000 0.0000 0.0000  4 Fe 3.34, 5 Cd 3.37-3.52, 4 Sr 3.56
Cd 0.0000 0.0000 0.5592  4 Fe 2.78, 4 Cd 3.10
Cd 0.5000 0.5000 0.3216  1 Fe 2.99, 4 Cd 3.10
Fe 0.5000 0.5000 0.7127  5 Cd 2.78-2.99

Values from the calculation:
- energy of formation (meV per atom) = 267
- calculated density (g/cm³) = 6.32
- symmetry = No. 99
- raw total energy (eV per atom) = -2.726

What is the formula in the second record? Sr3CdFe